Computed, not measured: a relaxed structure of ZrCBr2 at the PBE level of DFT.

Lattice parameters (Å, degrees): 7.1825 7.1825 5.9527 90.00 90.00 90.00
Last column: nearest neighbours and their distance in Å.
Fractional coordinates of all 16 atoms:
Zr1 0.0000 0.0000 0.0000  4 Br 2.79, 2 C 2.98
Zr2 0.0000 0.5000 0.2500  4 Br 2.79, 2 C 2.98
Zr3 0.5000 0.0000 0.7500  4 Br 2.79, 2 C 2.98
Zr4 0.5000 0.5000 0.5000  4 Br 2.79, 2 C 2.98
C1 0.0000 0.0000 0.5000  4 Br 2.51
C2 0.0000 0.5000 0.7500  4 Br 2.51
C3 0.5000 0.0000 0.2500  4 Br 2.51
C4 0.5000 0.5000 0.0000  4 Br 2.51
Br1 0.2207 0.7500 0.6250  2 C 2.51, 2 Zr 2.79
Br2 0.2500 0.2207 0.3750  2 C 2.51, 2 Zr 2.79
Br3 0.2500 0.2793 0.8750  2 C 2.51, 2 Zr 2.79
Br4 0.2793 0.7500 0.1250  2 C 2.51, 2 Zr 2.79
Br5 0.7207 0.2500 0.1250  2 C 2.51, 2 Zr 2.79
Br6 0.7500 0.7207 0.8750  2 C 2.51, 2 Zr 2.79
Br7 0.7500 0.7793 0.3750  2 C 2.51, 2 Zr 2.79
Br8 0.7793 0.2500 0.6250  2 C 2.51, 2 Zr 2.79

Calculated values
Total energy: -66.795 eV/cell